The following is a PBE calculation of a geometry-optimized SbBrN2 structure, from the Alexandria database.

Energy above the lowest structure with this stoichiometry ... 0.0 meV per atom
Raw total energy ... -19.46 eV/cell
Space group ... R-3m (166)
Spin magnetization ... 0.00 μB/f.u.
Mass density ... 6.05 g cm⁻³
Formation energy without anion corrections ... 2.98 eV per formula unit

a = 6.7220 Å, b = 6.7220 Å, c = 6.7220 Å
α = 28.98°, β = 28.98°, γ = 28.98°
With the nearest neighbours (Å) after each atom.
Fractional positions:
Sb 0.0000 0.0000 0.0000  6 N 2.21
Br 0.5000 0.5000 0.5000  2 N 2.17
N 0.3877 0.3877 0.3877  1 Br 2.17, 3 Sb 2.21
N 0.6123 0.6123 0.6123  1 Br 2.17, 3 Sb 2.21